## w
This record from Alexandria via LeMat-Bulk describes a relaxed BaHf2Pd2 crystal. The functional is GGA-PBE.

Geometry as POSCAR:
```
BaHf2Pd2
1.0
8.460 0.000 0.000
0.000 8.460 0.000
0.000 0.000 3.077
Ba Hf Pd
2 4 4
Direct
0.000 0.000 0.000
0.500 0.500 0.000
0.131 0.369 0.000
0.369 0.869 0.000
0.631 0.131 0.000
0.869 0.631 0.000
0.158 0.658 0.500
0.342 0.158 0.500
0.658 0.842 0.500
0.842 0.342 0.500
```

SG: P4/mbm, No. 127

=====

## x
This record from Alexandria via LeMat-Bulk describes a relaxed BaHf2Pd2 crystal. The functional is GGA-PBE.

Geometry as POSCAR:
```
BaHf2Pd2
1.0
-2.346 2.346 5.726
2.346 -2.346 5.726
2.346 2.346 -5.726
Ba Hf Pd
1 2 2
Direct
0.000 0.000 0.000
0.250 0.750 0.500
0.750 0.250 0.500
0.369 0.369 0.000
0.631 0.631 0.000
```

SG: I4/mmm, No. 139

=====

Which of them is the most stable, and which is the least stable? x and w, in that order.

=====

## w
This record from Alexandria via LeMat-Bulk describes a relaxed BaHf2Pd crystal. The functional is GGA-PBE.

Geometry as POSCAR:
```
BaHf2Pd
1.0
-2.773 2.773 9.124
2.773 -2.773 9.124
2.773 2.773 -9.124
Ba Hf Pd
2 4 2
Direct
0.375 0.625 0.750
0.625 0.375 0.250
0.000 0.000 0.000
0.000 0.000 0.500
0.000 0.500 0.000
0.500 0.000 0.500
0.125 0.875 0.250
0.875 0.125 0.750
```

SG: I4_1/amd, No. 141

=====

## x
This record from Alexandria via LeMat-Bulk describes a relaxed BaHf2Pd crystal. The functional is GGA-PBE.

Geometry as POSCAR:
```
BaHf2Pd
1.0
0.000 3.537 3.537
3.537 0.000 3.537
3.537 3.537 0.000
Ba Hf Pd
1 2 1
Direct
0.000 0.000 0.000
0.250 0.250 0.250
0.750 0.750 0.750
0.500 0.500 0.500
```

SG: Fm-3m, No. 225

=====

Which of them is the most stable, and which is the least stable? x and w, in that order.

=====

## w
This record from Alexandria via LeMat-Bulk describes a relaxed BaHfTlPd2 crystal. The functional is GGA-PBE.

Geometry as POSCAR:
```
BaHfTlPd2
1.0
5.148 0.000 0.000
0.000 5.148 0.000
0.000 0.000 5.896
Ba Hf Tl Pd
1 1 1 2
Direct
0.000 0.000 0.000
0.500 0.500 0.000
0.000 0.000 0.500
0.000 0.500 0.500
0.500 0.000 0.500
```

SG: P4/mmm, No. 123

=====

## x
This record from Alexandria via LeMat-Bulk describes a relaxed BaHfTlPd2 crystal. The functional is GGA-PBE.

Geometry as POSCAR:
```
BaHfTlPd2
1.0
5.217 0.000 0.000
0.000 5.217 0.000
0.000 0.000 6.009
Ba Hf Tl Pd
1 1 1 2
Direct
0.000 0.000 0.000
0.500 0.500 0.500
0.000 0.000 0.500
0.000 0.500 0.000
0.500 0.000 0.000
```

SG: P4/mmm, No. 123

=====

Which of them is the most stable, and which is the least stable? w and x, in that order.

=====

## w
This record from Alexandria via LeMat-Bulk describes a relaxed BaHfPt2 crystal. The functional is GGA-PBE.

Geometry as POSCAR:
```
BaHfPt2
1.0
3.423 0.000 0.000
0.000 3.423 0.000
0.000 0.000 7.860
Ba Hf Pt
1 1 2
Direct
0.000 0.000 0.000
0.000 0.000 0.500
0.500 0.500 0.316
0.500 0.500 0.684
```

SG: P4/mmm, No. 123

=====

## x
This record from Alexandria via LeMat-Bulk describes a relaxed BaHfPt2 crystal. The functional is GGA-PBE.

Geometry as POSCAR:
```
BaHfPt2
1.0
0.000 3.568 3.568
3.568 0.000 3.568
3.568 3.568 0.000
Ba Hf Pt
1 1 2
Direct
0.000 0.000 0.000
0.500 0.500 0.500
0.250 0.250 0.250
0.750 0.750 0.750
```

SG: Fm-3m, No. 225

=====

## y
This record from Alexandria via LeMat-Bulk describes a relaxed BaHfPt2 crystal. The functional is GGA-PBE.

Geometry as POSCAR:
```
BaHfPt2
1.0
-3.867 3.867 3.767
3.867 -3.867 3.767
3.867 3.867 -3.767
Ba Hf Pt
2 2 4
Direct
0.000 0.000 0.000
0.750 0.250 0.500
0.250 0.750 0.500
0.500 0.500 0.000
0.194 0.625 0.069
0.375 0.444 0.569
0.556 0.125 0.931
0.875 0.806 0.431
```

SG: I-42d, No. 122

=====

Which of them is the most stable, and which is the least stable? w and x, in that order.